# 1
A plane-wave DFT calculation with GGA-PBE was carried out for a geometry-optimized K2U2IrS6 structure.

## Properties
Total moment   5.0 μB per formula unit
Electronic total energy   -6.407 eV per atom
Space group   C2/m, No. 12
Formation energy from raw total energies   -25.3 kcal/mol of atoms

abc: 6.427 6.427 8.090
angles: 98.13 98.13 118.79
Fractional coordinates of all 11 atoms:
K1 0.172 0.828 0.000
K2 0.828 0.172 0.000
U1 0.330 0.670 0.500
U2 0.670 0.330 0.500
Ir1 0.000 0.000 0.500
S1 0.073 0.378 0.697
S2 0.236 0.236 0.309
S3 0.378 0.073 0.697
S4 0.622 0.927 0.303
S5 0.764 0.764 0.691
S6 0.927 0.622 0.303

***

# 2
A plane-wave DFT calculation with GGA-PBE was carried out for a geometry-optimized Sc7Bi2PN2 structure.

## Properties
Total moment   0.0 μB per formula unit
Electronic total energy   -7.227 eV per atom
Space group   I4/mmm, No. 139
Formation energy from raw total energies   -24.2 kcal/mol of atoms

abc: 12.171 12.171 12.171
angles: 159.18 159.18 29.60
Fractional coordinates of all 12 atoms:
Sc1 0.000 0.000 0.000
Sc2 0.084 0.584 0.500
Sc3 0.185 0.185 0.000
Sc4 0.416 0.916 0.500
Sc5 0.584 0.084 0.500
Sc6 0.815 0.815 0.000
Sc7 0.916 0.416 0.500
Bi1 0.317 0.317 0.000
Bi2 0.683 0.683 0.000
P1 0.500 0.500 0.000
N1 0.093 0.093 0.000
N2 0.907 0.907 0.000

***

# 3
A plane-wave DFT calculation with GGA-PBE was carried out for a geometry-optimized Ac3ZnB2Pt9 structure.

## Properties
Total moment   0.0 μB per formula unit
Electronic total energy   -6.199 eV per atom
ΔH_f (0 K)   -778 meV/atom
Space group   P-3m1, No. 164

abc: 5.958 5.958 9.388
angles: 90.00 90.00 120.00
Fractional coordinates of all 15 atoms:
Ac1 0.000 0.000 0.000
Ac2 0.333 0.667 0.622
Ac3 0.667 0.333 0.378
Zn1 0.000 0.000 0.500
B1 0.333 0.667 0.150
B2 0.667 0.333 0.850
Pt1 0.000 0.500 0.000
Pt2 0.166 0.333 0.287
Pt3 0.166 0.834 0.287
Pt4 0.333 0.166 0.713
Pt5 0.500 0.000 0.000
Pt6 0.500 0.500 0.000
Pt7 0.667 0.834 0.287
Pt8 0.834 0.166 0.713
Pt9 0.834 0.667 0.713

***

# 4
A plane-wave DFT calculation with GGA-PBE was carried out for a geometry-optimized Ba2Pt structure.

## Properties
Total moment   0.0 μB per formula unit
Electronic total energy   -2.703 eV per atom
ΔH_f (0 K)   592 meV/atom
Space group   Fd-3m, No. 227

abc: 6.676 6.676 6.676
angles: 60.00 60.00 60.00
Fractional coordinates of all 6 atoms:
Ba1 0.000 0.000 0.000
Ba2 0.000 0.000 0.500
Ba3 0.000 0.500 0.000
Ba4 0.500 0.000 0.000
Pt1 0.375 0.375 0.375
Pt2 0.625 0.625 0.625

***

# 5
A plane-wave DFT calculation with GGA-PBE was carried out for a geometry-optimized Ba2MnZn structure.

## Properties
Total moment   3.9 μB per formula unit
Electronic total energy   -3.145 eV per atom
ΔH_f (0 K)   427 meV/atom
Space group   I-4m2, No. 119

abc: 6.538 6.538 6.538
angles: 135.54 135.54 64.70
Fractional coordinates of all 4 atoms:
Ba1 0.000 0.000 0.000
Ba2 0.750 0.250 0.500
Mn1 0.250 0.750 0.500
Zn1 0.500 0.500 0.000

***

# 6
A plane-wave DFT calculation with GGA-PBE was carried out for a geometry-optimized Cs2KTaI6 structure.

## Properties
Total moment   2.0 μB per formula unit
Electronic total energy   -3.371 eV per atom
Space group   Fm-3m, No. 225
Formation energy from raw total energies   -22.5 kcal/mol of atoms

abc: 8.792 8.792 8.792
angles: 60.00 60.00 60.00
Fractional coordinates of all 10 atoms:
Cs1 0.250 0.250 0.250
Cs2 0.750 0.750 0.750
K1 0.000 0.000 0.000
Ta1 0.500 0.500 0.500
I1 0.271 0.271 0.729
I2 0.271 0.729 0.271
I3 0.271 0.729 0.729
I4 0.729 0.271 0.271
I5 0.729 0.271 0.729
I6 0.729 0.729 0.271

***

# 7
A plane-wave DFT calculation with GGA-PBE was carried out for a geometry-optimized Bi2OsRh structure.

## Properties
Total moment   0.0 μB per formula unit
Electronic total energy   -5.744 eV per atom
ΔH_f (0 K)   842 meV/atom
Space group   I-42d, No. 122

abc: 7.461 7.461 7.461
angles: 131.39 131.39 71.19
Fractional coordinates of all 8 atoms:
Bi1 0.124 0.625 0.999
Bi2 0.375 0.374 0.499
Bi3 0.626 0.125 0.001
Bi4 0.875 0.876 0.501
Os1 0.000 0.000 0.000
Os2 0.750 0.250 0.500
Rh1 0.250 0.750 0.500
Rh2 0.500 0.500 0.000

***

# 8
A plane-wave DFT calculation with GGA-PBE was carried out for a geometry-optimized Sr2AlAu structure.

## Properties
Total moment   0.0 μB per formula unit
Electronic total energy   -2.847 eV per atom
ΔH_f (0 K)   -251 meV/atom
Space group   C2/m, No. 12

abc: 4.356 4.356 8.831
angles: 104.20 104.20 59.78
Fractional coordinates of all 4 atoms:
Sr1 0.243 0.243 0.231
Sr2 0.757 0.757 0.769
Al1 0.000 0.000 0.500
Au1 0.500 0.500 0.000

***

- electronic total energy of number 8 (Sr2AlAu)?
  -2.847 eV per atom